The following is a DFT calculation (PBE-GGA) of crystalline HfSnIr at its relaxed geometry.

Results
Space group   P-62m, No. 189
Total DFT energy (no corrections)   -8.297 eV/atom

Unit cell a=7.3426 b=7.3426 c=3.7048 alpha=90.00 beta=90.00 gamma=120.00
Last column: nearest neighbours and their distance in Å.
Positions (direct):
Hf 0.0000 0.6049 0.0000  5 Ir 2.90-2.92, 6 Sn 3.09-3.16
Hf 0.3951 0.3951 0.0000  5 Ir 2.90-2.92, 6 Sn 3.09-3.16
Hf 0.6049 0.0000 0.0000  5 Ir 2.90-2.92, 6 Sn 3.09-3.16
Sn 0.0000 0.2676 0.5000  4 Ir 2.70-2.72
Sn 0.2676 0.0000 0.5000  4 Ir 2.70-2.72
Sn 0.7324 0.7324 0.5000  4 Ir 2.70-2.72
Ir 0.0000 0.0000 0.0000  6 Sn 2.70, 3 Hf 2.90
Ir 0.3333 0.6667 0.5000  3 Sn 2.72, 6 Hf 2.92
Ir 0.6667 0.3333 0.5000  3 Sn 2.72, 6 Hf 2.92

---

The following is a DFT calculation (PBE-GGA) of crystalline SrCuSb at its relaxed geometry.

Results
Space group   P-62m, No. 189
Total DFT energy (no corrections)   -3.707 eV/atom

Unit cell a=7.4253 b=7.4253 c=4.6945 alpha=90.00 beta=90.00 gamma=120.00
Last column: nearest neighbours and their distance in Å.
Positions (direct):
Sr 0.0000 0.5672 0.0000  5 Sb 3.21-3.22, 2 Cu 3.42
Sr 0.4328 0.4328 0.0000  5 Sb 3.21-3.22, 2 Cu 3.42
Sr 0.5672 0.0000 0.0000  5 Sb 3.21-3.22, 2 Cu 3.42
Cu 0.0000 0.2316 0.5000  4 Sb 2.91-2.93, 2 Cu 2.98
Cu 0.2316 0.0000 0.5000  4 Sb 2.91-2.93, 2 Cu 2.98
Cu 0.7684 0.7684 0.5000  4 Sb 2.91-2.93, 2 Cu 2.98
Sb 0.0000 0.0000 0.0000  6 Cu 2.91, 3 Sr 3.21
Sb 0.3333 0.6667 0.5000  3 Cu 2.93, 6 Sr 3.22
Sb 0.6667 0.3333 0.5000  3 Cu 2.93, 6 Sr 3.22

---

The following is a DFT calculation (PBE-GGA) of crystalline PrNd2In3AgPd2 at its relaxed geometry.

Results
Space group   Amm2, No. 38
Total DFT energy (no corrections)   -4.637 eV/atom

Unit cell a=4.0240 b=7.8726 c=7.8726 alpha=120.01 beta=90.00 gamma=90.00
Last column: nearest neighbours and their distance in Å.
Positions (direct):
Pr 0.0000 0.0000 0.0000  4 Pd 3.12, 1 Ag 3.25, 6 In 3.28-3.49
Nd 0.0000 0.1760 0.5880  4 Pd 3.11, 1 Ag 3.24, 6 In 3.27-3.48
Nd 0.0000 0.5880 0.1760  4 Pd 3.11, 1 Ag 3.24, 6 In 3.27-3.48
In 0.5000 0.3285 0.3285  2 Ag 2.86, 2 Pd 2.96
In 0.5000 0.5871 0.8481  2 Ag 2.87, 2 Pd 2.94-2.96
In 0.5000 0.8481 0.5871  2 Ag 2.87, 2 Pd 2.94-2.96
Ag 0.0000 0.5876 0.5876  6 In 2.86-2.87
Pd 0.5000 0.2555 0.9209  3 In 2.94-2.96, 4 Nd 3.11, 2 Pr 3.12
Pd 0.5000 0.9209 0.2555  3 In 2.94-2.96, 4 Nd 3.11, 2 Pr 3.12

---

The following is a DFT calculation (PBE-GGA) of crystalline MgFeCoSi at its relaxed geometry.

Results
Space group   F-43m, No. 216
Total DFT energy (no corrections)   -5.796 eV/atom

Unit cell a=4.0229 b=4.0229 c=4.0229 alpha=60.00 beta=60.00 gamma=60.00
Last column: nearest neighbours and their distance in Å.
Positions (direct):
Mg 0.0000 0.0000 0.0000  4 Fe 2.46, 4 Co 2.46
Fe 0.2500 0.2500 0.2500  4 Mg 2.46, 4 Si 2.46
Co 0.7500 0.7500 0.7500  4 Si 2.46, 4 Mg 2.46
Si 0.5000 0.5000 0.5000  4 Fe 2.46, 4 Co 2.46

---

The following is a DFT calculation (PBE-GGA) of crystalline PrGaGePt2 at its relaxed geometry.

Results
Space group   P4/nmm, No. 129
Total DFT energy (no corrections)   -5.865 eV/atom

Unit cell a=4.3380 b=4.3380 c=10.3616 alpha=90.00 beta=90.00 gamma=90.00
Last column: nearest neighbours and their distance in Å.
Positions (direct):
Pr 0.2500 0.2500 0.2470  8 Pt 3.29-3.40, 4 Ge 3.32, 4 Ga 3.35
Pr 0.7500 0.7500 0.7530  8 Pt 3.29-3.40, 4 Ge 3.32, 4 Ga 3.35
Ga 0.2500 0.7500 0.0000  4 Pt 2.57
Ga 0.7500 0.2500 0.0000  4 Pt 2.57
Ge 0.2500 0.2500 0.6307  5 Pt 2.45-2.56
Ge 0.7500 0.7500 0.3693  5 Pt 2.45-2.56
Pt 0.2500 0.2500 0.8675  1 Ge 2.45, 4 Ga 2.57
Pt 0.2500 0.7500 0.5000  4 Ge 2.56
Pt 0.7500 0.2500 0.5000  4 Ge 2.56
Pt 0.7500 0.7500 0.1325  1 Ge 2.45, 4 Ga 2.57

---

The following is a DFT calculation (PBE-GGA) of crystalline PrCl2 at its relaxed geometry.

Results
Space group   P4_2/mnm, No. 136
Total DFT energy (no corrections)   -4.772 eV/atom

Unit cell a=7.1238 b=7.1238 c=3.6398 alpha=90.00 beta=90.00 gamma=90.00
Last column: nearest neighbours and their distance in Å.
Positions (direct):
Pr 0.0000 0.0000 0.0000  6 Cl 2.82-2.87
Pr 0.5000 0.5000 0.5000  6 Cl 2.82-2.87
Cl 0.2204 0.2204 0.5000  3 Pr 2.82-2.87
Cl 0.2796 0.7204 0.0000  3 Pr 2.82-2.87
Cl 0.7204 0.2796 0.0000  3 Pr 2.82-2.87
Cl 0.7796 0.7796 0.5000  3 Pr 2.82-2.87

---

The following is a DFT calculation (PBE-GGA) of crystalline Dy3Zn2CdInGa2 at its relaxed geometry.

Results
Space group   Amm2, No. 38
Total DFT energy (no corrections)   -3.396 eV/atom

Unit cell a=4.4342 b=7.0891 c=7.0891 alpha=118.84 beta=90.00 gamma=90.00
Last column: nearest neighbours and their distance in Å.
Positions (direct):
Dy 0.0000 0.0000 0.0000  1 In 3.06, 4 Ga 3.07, 2 Cd 3.17
Dy 0.0000 0.1156 0.5576  4 Ga 3.03-3.06, 2 Zn 3.07, 1 In 3.20
Dy 0.0000 0.5576 0.1156  4 Ga 3.03-3.06, 2 Zn 3.07, 1 In 3.20
Zn 0.5000 0.5653 0.8208  2 Ga 2.65-2.67, 2 In 2.84
Zn 0.5000 0.8208 0.5653  2 Ga 2.65-2.67, 2 In 2.84
Cd 0.5000 0.3136 0.3136  2 Ga 2.79, 2 In 2.92
In 0.0000 0.5763 0.5763  4 Zn 2.84, 2 Cd 2.92, 1 Dy 3.06
Ga 0.5000 0.2267 0.8849  2 Zn 2.65-2.67, 1 Cd 2.79
Ga 0.5000 0.8849 0.2267  2 Zn 2.65-2.67, 1 Cd 2.79

---

The following is a DFT calculation (PBE-GGA) of crystalline Nb2SnC at its relaxed geometry.

Results
Space group   P6_3/mmc, No. 194
Total DFT energy (no corrections)   -8.773 eV/atom

Unit cell a=3.2745 b=3.2745 c=13.9025 alpha=90.00 beta=90.00 gamma=120.00
Last column: nearest neighbours and their distance in Å.
Positions (direct):
Nb 0.3333 0.6667 0.0826  3 C 2.21
Nb 0.3333 0.6667 0.4174  3 C 2.21
Nb 0.6667 0.3333 0.5826  3 C 2.21
Nb 0.6667 0.3333 0.9174  3 C 2.21
Sn 0.3333 0.6667 0.7500  6 Nb 3.00, 6 Sn 3.27
Sn 0.6667 0.3333 0.2500  6 Nb 3.00, 6 Sn 3.27
C 0.0000 0.0000 0.0000  6 Nb 2.21
C 0.0000 0.0000 0.5000  6 Nb 2.21

---

The following is a DFT calculation (PBE-GGA) of crystalline KPrPO at its relaxed geometry.

Results
Space group   Pmc2_1, No. 26
Total DFT energy (no corrections)   -5.389 eV/atom

Unit cell a=4.9310 b=7.6067 c=6.5911 alpha=90.00 beta=90.00 gamma=90.00
Last column: nearest neighbours and their distance in Å.
Positions (direct):
K 0.0000 0.2454 0.0000  2 O 2.86, 1 P 3.14
K 0.0000 0.7546 0.5000  2 O 2.86, 1 P 3.14
Pr 0.5000 0.1647 0.5562  2 O 2.22
Pr 0.5000 0.8353 0.0562  2 O 2.22
P 0.0000 0.3417 0.4833  2 Pr 2.85, 1 K 3.14
P 0.0000 0.6583 0.9833  2 Pr 2.85, 1 K 3.14
O 0.5000 0.0841 0.8802  2 Pr 2.22
O 0.5000 0.9159 0.3802  2 Pr 2.22

---

The following is a DFT calculation (PBE-GGA) of crystalline BaPrTe3Pd at its relaxed geometry.

Results
Space group   Pnma, No. 62
Total DFT energy (no corrections)   -4.821 eV/atom

Unit cell a=15.2440 b=4.5359 c=11.8774 alpha=90.00 beta=90.00 gamma=90.00
Last column: nearest neighbours and their distance in Å.
Positions (direct):
Ba 0.2228 0.2500 0.0401  6 Te 3.47-3.54, 1 Pd 3.83
Ba 0.2772 0.7500 0.5401  6 Te 3.47-3.54, 1 Pd 3.83
Ba 0.7228 0.2500 0.4599  6 Te 3.47-3.54, 1 Pd 3.83
Ba 0.7772 0.7500 0.9599  6 Te 3.47-3.54, 1 Pd 3.83
Pr 0.0247 0.2500 0.3308  6 Te 3.16-3.22
Pr 0.4753 0.7500 0.8308  6 Te 3.16-3.22
Pr 0.5247 0.2500 0.1692  6 Te 3.16-3.22
Pr 0.9753 0.7500 0.6692  6 Te 3.16-3.22
Te 0.0893 0.7500 0.8920  3 Pd 2.70-2.71
Te 0.1072 0.2500 0.5776  3 Pr 3.19-3.22, 2 Ba 3.47
Te 0.1548 0.7500 0.2511  1 Pd 2.95, 2 Pr 3.16
Te 0.3452 0.2500 0.7511  1 Pd 2.95, 2 Pr 3.16
Te 0.3928 0.7500 0.0776  3 Pr 3.19-3.22, 2 Ba 3.47
Te 0.4107 0.2500 0.3920  3 Pd 2.70-2.71
Te 0.5893 0.7500 0.6080  3 Pd 2.70-2.71
Te 0.6072 0.2500 0.9224  3 Pr 3.19-3.22, 2 Ba 3.47
Te 0.6548 0.7500 0.2489  1 Pd 2.95, 2 Pr 3.16
Te 0.8452 0.2500 0.7489  1 Pd 2.95, 2 Pr 3.16
Te 0.8928 0.7500 0.4224  3 Pr 3.19-3.22, 2 Ba 3.47
Te 0.9107 0.2500 0.1080  3 Pd 2.70-2.71
Pd 0.0058 0.7500 0.0931  4 Te 2.70-2.95
Pd 0.4942 0.2500 0.5931  4 Te 2.70-2.95
Pd 0.5058 0.7500 0.4069  4 Te 2.70-2.95
Pd 0.9942 0.2500 0.9069  4 Te 2.70-2.95

---

The following is a DFT calculation (PBE-GGA) of crystalline HfMg2Cd at its relaxed geometry.

Results
Space group   F-43m, No. 216
Total DFT energy (no corrections)   -3.382 eV/atom

Unit cell a=4.9177 b=4.9177 c=4.9177 alpha=60.00 beta=60.00 gamma=60.00
Last column: nearest neighbours and their distance in Å.
Positions (direct):
Hf 0.0000 0.0000 0.0000  4 Cd 3.01, 4 Mg 3.01
Mg 0.2500 0.2500 0.2500  4 Mg 3.01, 4 Hf 3.01
Mg 0.5000 0.5000 0.5000  4 Cd 3.01, 4 Mg 3.01
Cd 0.7500 0.7500 0.7500  4 Hf 3.01, 4 Mg 3.01

---

The following is a DFT calculation (PBE-GGA) of crystalline NaGdNiSe3 at its relaxed geometry.

Results
Space group   Pnma, No. 62
Total DFT energy (no corrections)   -4.758 eV/atom

Unit cell a=11.1410 b=4.0944 c=11.9621 alpha=90.00 beta=90.00 gamma=90.00
Last column: nearest neighbours and their distance in Å.
Positions (direct):
Na 0.1825 0.2500 0.0044  7 Se 3.03-3.16, 2 Ni 3.34
Na 0.3175 0.7500 0.5044  7 Se 3.03-3.16, 2 Ni 3.34
Na 0.6825 0.2500 0.4956  7 Se 3.03-3.16, 2 Ni 3.34
Na 0.8175 0.7500 0.9956  7 Se 3.03-3.16, 2 Ni 3.34
Gd 0.0155 0.2500 0.3140  7 Se 2.90-3.15
Gd 0.4845 0.7500 0.8140  7 Se 2.90-3.15
Gd 0.5155 0.2500 0.1860  7 Se 2.90-3.15
Gd 0.9845 0.7500 0.6860  7 Se 2.90-3.15
Ni 0.2494 0.7500 0.2160  4 Se 2.34-2.40
Ni 0.2506 0.2500 0.7160  4 Se 2.34-2.40
Ni 0.7494 0.7500 0.2840  4 Se 2.34-2.40
Ni 0.7506 0.2500 0.7840  4 Se 2.34-2.40
Se 0.0511 0.7500 0.1459  1 Ni 2.36
Se 0.1122 0.2500 0.5618  1 Ni 2.40
Se 0.2196 0.7500 0.8069  2 Ni 2.34
Se 0.2804 0.2500 0.3069  2 Ni 2.34
Se 0.3878 0.7500 0.0618  1 Ni 2.40
Se 0.4489 0.2500 0.6459  1 Ni 2.36
Se 0.5511 0.7500 0.3541  1 Ni 2.36
Se 0.6122 0.2500 0.9382  1 Ni 2.40
Se 0.7196 0.7500 0.6931  2 Ni 2.34
Se 0.7804 0.2500 0.1931  2 Ni 2.34
Se 0.8878 0.7500 0.4382  1 Ni 2.40
Se 0.9489 0.2500 0.8541  1 Ni 2.36